A relaxed structure of MnFeHg3. Source: Alexandria via LeMat-Bulk, functional PBE-GGA.

```
5
Lattice="5.0284 0.0000 0.0000 0.0000 5.0284 0.0000 0.0000 0.0000 5.0284" Properties=species:S:1:pos:R:3 pbc="T T T"
Hg 2.5142 0.0000 0.0000
Hg 0.0000 2.5142 0.0000
Hg 0.0000 0.0000 2.5142
Mn 2.5142 2.5142 2.5142
Fe 0.0000 0.0000 0.0000
```

Computed properties:
* calculated formation energy: 0.780 eV per atom
* calculated total energy: -2.9273 eV/atom
* energy above the lowest structure with this stoichiometry: 0.00 kJ per mole of atoms
* SG: Pm-3m